No. 1
# CaNd2Ag2Sn2

CaNd2Ag2Sn2 after structural relaxation (GGA-PBE, Alexandria).

Output
Formation energy, meV/atom: -435
D(E_F), states/eV/cell: 2.5
Calculated volume, Å³/cell: 193.5

a b c (Å): 4.847 4.847 9.915
angles (deg): 75.85 75.85 60.00
Element x y z (fractional)
Ca1 0.000 0.000 0.000
Nd1 0.128 0.128 0.616
Nd2 0.872 0.872 0.384
Ag1 0.600 0.600 0.200
Ag2 0.400 0.400 0.800
Sn1 0.741 0.741 0.776
Sn2 0.259 0.259 0.224


No. 2
# CaNdAgSn

CaNdAgSn after structural relaxation (GGA-PBE, Alexandria).

Output
Formation energy, meV/atom: -552
D(E_F), states/eV/cell: 1.6
Calculated volume, Å³/cell: 109.5

a b c (Å): 5.370 5.370 5.370
angles (deg): 60.00 60.00 60.00
Element x y z (fractional)
Ca1 0.500 0.500 0.500
Nd1 0.000 0.000 0.000
Sn1 0.250 0.250 0.250
Ag1 0.750 0.750 0.750


No. 3
# SrCa2NdAg4

SrCa2NdAg4 after structural relaxation (GGA-PBE, Alexandria).

Output
Formation energy, meV/atom: -293
D(E_F), states/eV/cell: 5.9
Calculated volume, Å³/cell: 215.3

a b c (Å): 5.331 5.331 9.272
angles (deg): 73.29 73.29 60.00
Element x y z (fractional)
Sr1 0.000 0.000 0.000
Ca1 0.751 0.751 0.748
Ca2 0.249 0.249 0.252
Nd1 0.500 0.500 0.500
Ag1 0.380 0.380 0.861
Ag2 0.871 0.871 0.387
Ag3 0.129 0.129 0.613
Ag4 0.620 0.620 0.139


No. 4
# CaTbNdAg

CaTbNdAg after structural relaxation (GGA-PBE, Alexandria).

Output
Formation energy, meV/atom: -127
D(E_F), states/eV/cell: 5.3
Calculated volume, Å³/cell: 122.6

a b c (Å): 3.630 3.630 9.305
angles (deg): 90.00 90.00 90.00
Element x y z (fractional)
Ca1 0.500 0.500 0.770
Tb1 0.500 0.500 0.365
Nd1 0.000 0.000 0.093
Ag1 0.000 0.000 0.557


No. 5
# Ca3Nd3AgTe8

Ca3Nd3AgTe8 after structural relaxation (GGA-PBE, Alexandria).

Output
D(E_F), states/eV/cell: 3.8
Calculated volume, Å³/cell: 512.9
Raw formation energy, eV per atom: -1.29

a b c (Å): 8.970 8.970 9.000
angles (deg): 119.89 90.00 120.00
Element x y z (fractional)
Ca1 0.000 0.000 0.000
Ca2 0.000 0.500 0.000
Ca3 0.500 0.500 0.000
Nd1 0.500 0.000 0.500
Nd2 0.500 0.500 0.500
Nd3 0.000 0.500 0.500
Ag1 0.000 0.000 0.500
Te1 0.249 0.499 0.248
Te2 0.751 0.501 0.752
Te3 0.753 0.505 0.255
Te4 0.247 0.495 0.745
Te5 0.752 0.002 0.254
Te6 0.248 0.998 0.746
Te7 0.250 0.002 0.254
Te8 0.750 0.998 0.746


No. 6
# CaNdAgTe3

CaNdAgTe3 after structural relaxation (GGA-PBE, Alexandria).

Output
Calculated volume, Å³/cell: 374.3
Raw formation energy, eV per atom: -1.17

a b c (Å): 4.324 8.949 9.895
angles (deg): 102.16 90.00 90.00
Element x y z (fractional)
Ca1 0.250 0.668 0.170
Ca2 0.750 0.332 0.830
Nd1 0.250 0.184 0.244
Nd2 0.750 0.816 0.756
Ag1 0.250 0.081 0.583
Ag2 0.750 0.919 0.417
Te1 0.750 0.918 0.130
Te2 0.250 0.082 0.870
Te3 0.250 0.743 0.502
Te4 0.750 0.257 0.498
Te5 0.750 0.410 0.157
Te6 0.250 0.590 0.843


No. 7
# CaNdTlAg

CaNdTlAg after structural relaxation (GGA-PBE, Alexandria).

Output
Formation energy, meV/atom: -370
D(E_F), states/eV/cell: 2.8
Calculated volume, Å³/cell: 110.6

a b c (Å): 5.388 5.388 5.388
angles (deg): 60.00 60.00 60.00
Element x y z (fractional)
Tl1 0.500 0.500 0.500
Nd1 0.750 0.750 0.750
Ca1 0.250 0.250 0.250
Ag1 0.000 0.000 0.000


No. 8
# CaNdZnAg

CaNdZnAg after structural relaxation (GGA-PBE, Alexandria).

Output
Formation energy, meV/atom: -289
D(E_F), states/eV/cell: 3.4
Calculated volume, Å³/cell: 101.4

a b c (Å): 5.234 5.234 5.234
angles (deg): 60.00 60.00 60.00
Element x y z (fractional)
Zn1 0.000 0.000 0.000
Nd1 0.250 0.250 0.250
Ca1 0.750 0.750 0.750
Ag1 0.500 0.500 0.500


No. 9
# CaNiAg

CaNiAg after structural relaxation (GGA-PBE, Alexandria).

Output
Formation energy, meV/atom: -46
D(E_F), states/eV/cell: 2.0
Calculated volume, Å³/cell: 63.6

a b c (Å): 4.386 4.386 3.817
angles (deg): 90.00 90.00 120.00
Element x y z (fractional)
Ni1 0.333 0.667 0.833
Ca1 0.667 0.333 0.334
Ag1 0.000 0.000 0.834


No. 10
# CaNi2Ag

CaNi2Ag after structural relaxation (GGA-PBE, Alexandria).

Output
Formation energy, meV/atom: 114
D(E_F), states/eV/cell: 4.0
Calculated volume, Å³/cell: 67.3

a b c (Å): 5.301 5.301 5.301
angles (deg): 143.23 130.20 63.48
Site moments in Bohr magnetons follow the coordinates.
Element x y z (fractional)
Ni1 0.033 0.033 0.000  0.12
Ni2 0.225 0.725 0.500  0.13
Ca1 0.761 0.261 0.500  -0.01
Ag1 0.481 0.481 0.000  0.00


No. 11
# CaNiAg4

CaNiAg4 after structural relaxation (GGA-PBE, Alexandria).

Output
Formation energy, meV/atom: 66
D(E_F), states/eV/cell: 3.3
Calculated volume, Å³/cell: 118.5

a b c (Å): 5.513 5.513 5.513
angles (deg): 60.00 60.00 60.00
Site moments in Bohr magnetons follow the coordinates.
Element x y z (fractional)
Ca1 0.750 0.750 0.750  0.00
Ni1 0.000 0.000 0.000  0.10
Ag1 0.876 0.375 0.375  0.00
Ag2 0.375 0.375 0.876  0.00
Ag3 0.375 0.876 0.375  0.00
Ag4 0.375 0.375 0.375  0.00


No. 12
# CaNi4Ag

CaNi4Ag after structural relaxation (GGA-PBE, Alexandria).

Output
Formation energy, meV/atom: -67
D(E_F), states/eV/cell: 5.6
Calculated volume, Å³/cell: 85.9

a b c (Å): 4.952 4.952 4.952
angles (deg): 60.00 60.00 60.00
Site moments in Bohr magnetons follow the coordinates.
Element x y z (fractional)
Ag1 0.250 0.250 0.250  0.00
Ca1 0.000 0.000 0.000  -0.01
Ni1 0.126 0.625 0.625  0.21
Ni2 0.625 0.625 0.625  0.21
Ni3 0.625 0.126 0.625  0.21
Ni4 0.625 0.625 0.126  0.21